[1]
DFT (PBE) results for KSn2Rh2 after structural relaxation.

Lattice parameters (Å, degrees): 8.2357 8.2357 2.9919 90.00 90.00 90.00
With the nearest neighbours (Å) after each atom.
Positions (direct):
K: 0.0000 0.0000 0.0000  2 K 2.99, 4 Sn 3.19
K: 0.5000 0.5000 0.0000  2 K 2.99, 4 Sn 3.19
Sn: 0.1385 0.3615 0.0000  6 Rh 2.83-2.86, 2 Sn 2.99
Sn: 0.3615 0.8615 0.0000  6 Rh 2.83-2.86, 2 Sn 2.99
Sn: 0.6385 0.1385 0.0000  6 Rh 2.83-2.86, 2 Sn 2.99
Sn: 0.8615 0.6385 0.0000  6 Rh 2.83-2.86, 2 Sn 2.99
Rh: 0.1526 0.6526 0.5000  6 Sn 2.83-2.86, 2 Rh 2.99
Rh: 0.3474 0.1526 0.5000  6 Sn 2.83-2.86, 2 Rh 2.99
Rh: 0.6526 0.8474 0.5000  6 Sn 2.83-2.86, 2 Rh 2.99
Rh: 0.8474 0.3474 0.5000  6 Sn 2.83-2.86, 2 Rh 2.99

Properties
* spin magnetization: 0.00 μB/cell
* energy relative to the elements: -0.22 eV/atom
* mass density: 7.89 Mg/m³
* E above lowest polymorph: 0.55 eV per formula unit

[2]
DFT (PBE) results for PdRuW after structural relaxation.

Lattice parameters (Å, degrees): 2.7826 2.7826 6.7853 90.00 90.00 120.00
With the nearest neighbours (Å) after each atom.
Positions (direct):
Pd: 0.0000 0.0000 0.0000  6 Pd 2.78, 3 W 2.80, 3 Ru 2.85
Ru: 0.3333 0.6667 0.6526  3 W 2.67, 6 Ru 2.78, 3 Pd 2.85
W: 0.6667 0.3333 0.3381  3 Ru 2.67, 6 W 2.78, 3 Pd 2.80

Properties
* spin magnetization: 0.00 μB/cell
* energy relative to the elements: 0.08 eV/atom
* mass density: 14.28 Mg/m³
* E above lowest polymorph: 0.31 eV per formula unit

[3]
DFT (PBE) results for Sn2WBr after structural relaxation.

Lattice parameters (Å, degrees): 7.1134 7.1134 7.1134 90.00 90.00 90.00
With the nearest neighbours (Å) after each atom.
Positions (direct):
Sn: 0.2500 0.2500 0.2500  4 Br 3.08, 4 W 3.08
Sn: 0.2500 0.2500 0.7500  4 W 3.08, 4 Br 3.08
Sn: 0.2500 0.7500 0.2500  4 W 3.08, 4 Br 3.08
Sn: 0.2500 0.7500 0.7500  4 W 3.08, 4 Br 3.08
Sn: 0.7500 0.2500 0.2500  4 W 3.08, 4 Br 3.08
Sn: 0.7500 0.2500 0.7500  4 W 3.08, 4 Br 3.08
Sn: 0.7500 0.7500 0.2500  4 W 3.08, 4 Br 3.08
Sn: 0.7500 0.7500 0.7500  4 W 3.08, 4 Br 3.08
W: 0.0000 0.0000 0.0000  8 Sn 3.08
W: 0.0000 0.5000 0.5000  8 Sn 3.08
W: 0.5000 0.0000 0.5000  8 Sn 3.08
W: 0.5000 0.5000 0.0000  8 Sn 3.08
Br: 0.0000 0.0000 0.5000  8 Sn 3.08
Br: 0.0000 0.5000 0.0000  8 Sn 3.08
Br: 0.5000 0.0000 0.0000  8 Sn 3.08
Br: 0.5000 0.5000 0.5000  8 Sn 3.08

Properties
* spin magnetization: 0.01 μB/cell
* mass density: 9.25 Mg/m³
* energy relative to the elements, uncorrected: 1.0633 eV per atom
* E above lowest polymorph: 0.51 eV per formula unit